Record 1
# SmErIr

SmErIr after structural relaxation (PBE, Alexandria via LeMat-Bulk).

Values from the calculation:
Size of the total moment ... 0.00 Bohr magnetons per cell
Crystal system ... cubic
SG ... No. 216
Energy ... -20.10 eV per formula unit
N(E_F) ... 3.28 states/eV/cell
DFT formation energy ... -0.65 eV per atom

abc: 4.8355 4.8355 4.8355
angles: 60.00 60.00 60.00
With the nearest neighbours (Å) after each atom.
Positions (direct):
Sm 0.0000 0.0000 0.0000  4 Ir 2.96
Er 0.5000 0.5000 0.5000  4 Ir 2.96
Ir 0.7500 0.7500 0.7500  4 Er 2.96, 4 Sm 2.96

Record 2
# CrPBrCl2

CrPBrCl2 after structural relaxation (PBE, Alexandria via LeMat-Bulk).

Values from the calculation:
Size of the total moment ... 0.00 Bohr magnetons per cell
Energy relative to the elements, uncorrected ... 76.2 meV/atom
Crystal system ... tetragonal
SG ... No. 123
Energy ... -20.02 eV per formula unit
N(E_F) ... 5.42 states/eV/cell

abc: 4.4983 4.4983 4.8737
angles: 90.00 90.00 90.00
With the nearest neighbours (Å) after each atom.
Positions (direct):
Cr 0.0000 0.0000 0.0000  4 Cl 2.25, 2 P 2.44
P 0.0000 0.0000 0.5000  2 Cr 2.44
Br 0.5000 0.5000 0.5000  4 P 3.18, 8 Cl 3.32
Cl 0.0000 0.5000 0.0000  2 Cr 2.25
Cl 0.5000 0.0000 0.0000  2 Cr 2.25

Record 3
# MnHg2Rh

MnHg2Rh after structural relaxation (PBE, Alexandria via LeMat-Bulk).

Values from the calculation:
Size of the total moment ... 4.20 Bohr magnetons per cell
Crystal system ... monoclinic
SG ... No. 12
Energy ... -16.29 eV per formula unit
N(E_F) ... 1.83 states/eV/cell
DFT formation energy ... 0.21 eV per atom

abc: 4.8561 4.8561 3.1407
angles: 90.10 90.10 106.24
With the nearest neighbours (Å) after each atom.
Positions (direct):
Mn 0.0000 0.0000 0.0000  8 Hg 2.89, 2 Rh 2.91, 2 Mn 3.14
Hg 0.0000 0.5000 0.5000  4 Mn 2.89, 4 Rh 2.89, 4 Hg 2.91-3.14
Hg 0.5000 0.0000 0.5000  4 Mn 2.89, 4 Rh 2.89, 4 Hg 2.91-3.14
Rh 0.5000 0.5000 0.0000  8 Hg 2.89, 2 Mn 2.91, 2 Rh 3.14

Record 4
# CuIr3I

CuIr3I after structural relaxation (PBE, Alexandria via LeMat-Bulk).

Values from the calculation:
Size of the total moment ... 2.49 Bohr magnetons per cell
Energy relative to the elements, uncorrected ... 1765.3 meV/atom
Crystal system ... cubic
SG ... No. 221
Energy ... -23.40 eV per formula unit
N(E_F) ... 7.52 states/eV/cell

abc: 4.5906 4.5906 4.5906
angles: 90.00 90.00 90.00
With the nearest neighbours (Å) after each atom.
Positions (direct):
Cu 0.0000 0.0000 0.0000  6 Ir 2.30
Ir 0.0000 0.0000 0.5000  2 Cu 2.30
Ir 0.0000 0.5000 0.0000  2 Cu 2.30
Ir 0.5000 0.0000 0.0000  2 Cu 2.30
I 0.5000 0.5000 0.5000  12 Ir 3.25

Record 5
# CaLa2Pm2Nd2

CaLa2Pm2Nd2 after structural relaxation (PBE, Alexandria via LeMat-Bulk).

Values from the calculation:
Size of the total moment ... 0.00 Bohr magnetons per cell
Crystal system ... monoclinic
SG ... No. 12
Energy ... -30.57 eV per formula unit
N(E_F) ... 11.57 states/eV/cell
DFT formation energy ... 0.05 eV per atom

abc: 6.4541 6.4541 8.2463
angles: 97.74 97.74 48.41
With the nearest neighbours (Å) after each atom.
Positions (direct):
Ca 0.0000 0.0000 0.0000  6 Pm 3.71-3.75, 2 La 3.73, 4 Nd 3.77
La 0.1450 0.1450 0.4332  3 Pm 3.62-3.74, 5 Nd 3.65-3.77, 3 La 3.68-3.74, 1 Ca 3.73
La 0.8550 0.8550 0.5668  3 Pm 3.62-3.74, 5 Nd 3.65-3.77, 3 La 3.68-3.74, 1 Ca 3.73
Pm 0.2833 0.2833 0.8550  3 La 3.62-3.74, 4 Nd 3.69-3.81, 3 Ca 3.71-3.75, 2 Pm 3.73
Pm 0.7167 0.7167 0.1450  3 La 3.62-3.74, 4 Nd 3.69-3.81, 3 Ca 3.71-3.75, 2 Pm 3.73
Nd 0.4248 0.4248 0.2922  1 Nd 3.62, 5 La 3.65-3.77, 4 Pm 3.69-3.81, 2 Ca 3.77
Nd 0.5752 0.5752 0.7078  1 Nd 3.62, 5 La 3.65-3.77, 4 Pm 3.69-3.81, 2 Ca 3.77

Record 6
# InAg2WI

InAg2WI after structural relaxation (PBE, Alexandria via LeMat-Bulk).

Values from the calculation:
Size of the total moment ... 3.28 Bohr magnetons per cell
Energy relative to the elements, uncorrected ... 1612.7 meV/atom
Crystal system ... tetragonal
SG ... No. 123
Energy ... -14.88 eV per formula unit
N(E_F) ... 3.19 states/eV/cell

abc: 5.3573 5.3573 5.2485
angles: 90.00 90.00 90.00
With the nearest neighbours (Å) after each atom.
Positions (direct):
In 0.0000 0.0000 0.0000  8 Ag 3.75, 4 W 3.79
Ag 0.0000 0.5000 0.5000  2 I 2.68
Ag 0.5000 0.0000 0.5000  2 I 2.68
W 0.5000 0.5000 0.0000  2 I 2.62
I 0.5000 0.5000 0.5000  2 W 2.62, 4 Ag 2.68

Record 7
# Mn2Zn12Ag

Mn2Zn12Ag after structural relaxation (PBE, Alexandria via LeMat-Bulk).

Values from the calculation:
Size of the total moment ... 14.18 Bohr magnetons per cell
Crystal system ... tetragonal
SG ... No. 125
Energy ... -34.14 eV per formula unit
N(E_F) ... 11.11 states/eV/cell
DFT formation energy ... 0.16 eV per atom

abc: 5.0024 5.0024 19.3827
angles: 90.00 90.00 90.00
With the nearest neighbours (Å) after each atom.
Positions (direct):
Mn 0.2500 0.7500 0.2227  8 Zn 2.78
Mn 0.2500 0.7500 0.7773  8 Zn 2.78
Mn 0.7500 0.2500 0.2227  8 Zn 2.78
Mn 0.7500 0.2500 0.7773  8 Zn 2.78
Zn 0.0600 0.5600 0.3829  7 Zn 2.57-2.69, 1 Ag 2.64
Zn 0.0600 0.9400 0.6171  7 Zn 2.57-2.69, 1 Ag 2.64
Zn 0.0721 0.5721 0.0628  8 Zn 2.52-2.64
Zn 0.0721 0.9279 0.9372  8 Zn 2.52-2.64
Zn 0.2500 0.2500 0.1596  5 Zn 2.43-2.63
Zn 0.2500 0.2500 0.2850  5 Zn 2.43-2.63
Zn 0.2500 0.2500 0.7150  5 Zn 2.43-2.63
Zn 0.2500 0.2500 0.8404  5 Zn 2.43-2.63
Zn 0.4279 0.5721 0.9372  8 Zn 2.52-2.64
Zn 0.4279 0.9279 0.0628  8 Zn 2.52-2.64
Zn 0.4400 0.5600 0.6171  7 Zn 2.57-2.69, 1 Ag 2.64
Zn 0.4400 0.9400 0.3829  7 Zn 2.57-2.69, 1 Ag 2.64
Zn 0.5600 0.0600 0.6171  7 Zn 2.57-2.69, 1 Ag 2.64
Zn 0.5600 0.4400 0.3829  7 Zn 2.57-2.69, 1 Ag 2.64
Zn 0.5721 0.0721 0.9372  8 Zn 2.52-2.64
Zn 0.5721 0.4279 0.0628  8 Zn 2.52-2.64
Zn 0.7500 0.7500 0.1596  5 Zn 2.43-2.63
Zn 0.7500 0.7500 0.2850  5 Zn 2.43-2.63
Zn 0.7500 0.7500 0.7150  5 Zn 2.43-2.63
Zn 0.7500 0.7500 0.8404  5 Zn 2.43-2.63
Zn 0.9279 0.0721 0.0628  8 Zn 2.52-2.64
Zn 0.9279 0.4279 0.9372  8 Zn 2.52-2.64
Zn 0.9400 0.0600 0.3829  7 Zn 2.57-2.69, 1 Ag 2.64
Zn 0.9400 0.4400 0.6171  7 Zn 2.57-2.69, 1 Ag 2.64
Ag 0.2500 0.7500 0.5000  4 Zn 2.64
Ag 0.7500 0.2500 0.5000  4 Zn 2.64

Record 8
# TbMgGeAu

TbMgGeAu after structural relaxation (PBE, Alexandria via LeMat-Bulk).

Values from the calculation:
Size of the total moment ... 0.00 Bohr magnetons per cell
Crystal system ... cubic
SG ... No. 216
Energy ... -16.70 eV per formula unit
N(E_F) ... 1.03 states/eV/cell
DFT formation energy ... -0.65 eV per atom

abc: 4.9275 4.9275 4.9275
angles: 60.00 60.00 60.00
With the nearest neighbours (Å) after each atom.
Positions (direct):
Tb 0.0000 0.0000 0.0000  4 Ge 3.02, 4 Au 3.02
Mg 0.5000 0.5000 0.5000  4 Ge 3.02, 4 Au 3.02
Ge 0.7500 0.7500 0.7500  4 Tb 3.02, 4 Mg 3.02
Au 0.2500 0.2500 0.2500  4 Tb 3.02, 4 Mg 3.02

Record 9
# BaSrCdIr

BaSrCdIr after structural relaxation (PBE, Alexandria via LeMat-Bulk).

Values from the calculation:
Size of the total moment ... 0.00 Bohr magnetons per cell
Crystal system ... monoclinic
SG ... No. 8
Energy ... -14.02 eV per formula unit
N(E_F) ... 3.49 states/eV/cell
DFT formation energy ... -0.16 eV per atom

abc: 4.7146 4.7146 8.4082
angles: 106.21 106.21 60.05
With the nearest neighbours (Å) after each atom.
Positions (direct):
Ba 0.0000 0.0000 0.0000  3 Ir 3.41-3.42, 3 Cd 3.45
Sr 0.1656 0.1656 0.4986  3 Cd 3.29, 3 Ir 3.32
Cd 0.7551 0.7551 0.2669  3 Ir 2.72
Ir 0.4191 0.4191 0.2592  3 Cd 2.72

Record 10
# CeSc4Te6

CeSc4Te6 after structural relaxation (PBE, Alexandria via LeMat-Bulk).

Values from the calculation:
Size of the total moment ... 2.13 Bohr magnetons per cell
Energy relative to the elements, uncorrected ... -1222.1 meV/atom
Crystal system ... orthorhombic
SG ... No. 63
Energy ... -63.55 eV per formula unit
N(E_F) ... 23.84 states/eV/cell

abc: 7.1754 7.1754 21.4009
angles: 90.00 90.00 146.02
With the nearest neighbours (Å) after each atom.
Positions (direct):
Ce 0.1529 0.8471 0.7500  6 Te 3.18-3.22
Ce 0.8471 0.1529 0.2500  6 Te 3.18-3.22
Sc 0.0932 0.9068 0.1228  6 Te 2.92-2.94
Sc 0.0932 0.9068 0.3772  6 Te 2.92-2.94
Sc 0.3537 0.6463 0.0347  6 Te 2.92-3.00
Sc 0.3537 0.6463 0.4653  6 Te 2.92-3.00
Sc 0.6463 0.3537 0.5347  6 Te 2.92-3.00
Sc 0.6463 0.3537 0.9653  6 Te 2.92-3.00
Sc 0.9068 0.0932 0.6228  6 Te 2.92-2.94
Sc 0.9068 0.0932 0.8772  6 Te 2.92-2.94
Te 0.0000 0.0000 0.0000  6 Sc 2.92-3.00
Te 0.0000 0.0000 0.5000  6 Sc 2.92-3.00
Te 0.1733 0.8267 0.2500  2 Sc 2.94, 2 Ce 3.18
Te 0.2651 0.7349 0.5917  5 Sc 2.92-2.97
Te 0.2651 0.7349 0.9083  5 Sc 2.92-2.97
Te 0.4543 0.5457 0.1585  3 Sc 2.94-2.99, 2 Ce 3.22
Te 0.4543 0.5457 0.3415  3 Sc 2.94-2.99, 2 Ce 3.22
Te 0.5457 0.4543 0.6585  3 Sc 2.94-2.99, 2 Ce 3.22
Te 0.5457 0.4543 0.8415  3 Sc 2.94-2.99, 2 Ce 3.22
Te 0.7349 0.2651 0.0917  5 Sc 2.92-2.97
Te 0.7349 0.2651 0.4083  5 Sc 2.92-2.97
Te 0.8267 0.1733 0.7500  2 Sc 2.94, 2 Ce 3.18

Record 11
# ReRhO3

ReRhO3 after structural relaxation (PBE, Alexandria via LeMat-Bulk).

Values from the calculation:
Size of the total moment ... 3.70 Bohr magnetons per cell
Energy relative to the elements, uncorrected ... 595.9 meV/atom
Crystal system ... cubic
SG ... No. 221
Energy ... -31.69 eV per formula unit
N(E_F) ... 5.22 states/eV/cell

abc: 3.9009 3.9009 3.9009
angles: 90.00 90.00 90.00
With the nearest neighbours (Å) after each atom.
Positions (direct):
Re 0.0000 0.0000 0.0000  12 O 2.76
Rh 0.5000 0.5000 0.5000  6 O 1.95
O 0.0000 0.5000 0.5000  2 Rh 1.95
O 0.5000 0.0000 0.5000  2 Rh 1.95
O 0.5000 0.5000 0.0000  2 Rh 1.95

Record 12
# Pm4Dy5Th

Pm4Dy5Th after structural relaxation (PBE, Alexandria via LeMat-Bulk).

Values from the calculation:
Size of the total moment ... 0.00 Bohr magnetons per cell
Crystal system ... monoclinic
SG ... No. 12
Energy ... -49.22 eV per formula unit
N(E_F) ... 12.78 states/eV/cell
DFT formation energy ... 0.02 eV per atom

abc: 12.9292 12.9292 7.1531
angles: 97.78 97.78 16.03
With the nearest neighbours (Å) after each atom.
Positions (direct):
Pm 0.0976 0.0976 0.2973  6 Dy 3.54-3.65, 2 Th 3.54, 4 Pm 3.61-3.63
Pm 0.2994 0.2994 0.8987  6 Pm 3.57-3.63, 6 Dy 3.57-3.64
Pm 0.7006 0.7006 0.1013  6 Pm 3.57-3.63, 6 Dy 3.57-3.64
Pm 0.9024 0.9024 0.7027  6 Dy 3.54-3.65, 2 Th 3.54, 4 Pm 3.61-3.63
Dy 0.0973 0.0973 0.8026  2 Th 3.52, 4 Pm 3.54-3.64, 6 Dy 3.56-3.65
Dy 0.2999 0.2999 0.3993  6 Pm 3.57-3.65, 6 Dy 3.59-3.65
Dy 0.5000 0.5000 0.5000  4 Pm 3.55, 6 Dy 3.56-3.61, 2 Th 3.58
Dy 0.7001 0.7001 0.6007  6 Pm 3.57-3.65, 6 Dy 3.59-3.65
Dy 0.9027 0.9027 0.1974  2 Th 3.52, 4 Pm 3.54-3.64, 6 Dy 3.56-3.65
Th 0.5000 0.5000 0.0000  6 Dy 3.52-3.58, 4 Pm 3.54, 2 Th 3.61